The following is a PBE calculation of a geometry-optimized CaPr2Hg structure, from the Alexandria database.

Unit cell a=11.415 b=11.415 c=11.415 alpha=19.17 beta=19.17 gamma=19.17
Element x y z (fractional)
Ca 0.000 0.000 0.000
Pr 0.239 0.239 0.239
Pr 0.427 0.427 0.427
Hg 0.833 0.833 0.833

- calculated density (g cm⁻³) = 6.19
- energy relative to the lowest polymorph listed for this composition (kcal/mol of atoms) = 1.77
- N(E_F) (states/eV/f.u.) = 5.3
- space group = No. 160
- M_tot (μB/atom) = 0.000
- ΔH_f (0 K) (eV/atom) = -0.10